(i)
This record from Alexandria describes a geometry-optimized TbNd2Ti structure. The functional is PBE.

The structure in POSCAR format:
```
TbNd2Ti
1.0
3.9370 0.0000 0.0000
0.0000 3.9370 0.0000
0.0000 0.0000 7.5229
Tb Nd Ti
1 2 1
Direct
0.0000 0.0000 0.0000
0.5000 0.5000 0.2850
0.5000 0.5000 0.7150
0.0000 0.0000 0.5000
```

=====

(ii)
This record from Alexandria describes a geometry-optimized TbNd2Ti structure. The functional is PBE.

The structure in POSCAR format:
```
TbNd2Ti
1.0
1.7030 0.9832 11.9732
-1.7030 0.9832 11.9732
0.0000 -1.9664 11.9732
Tb Nd Ti
1 2 1
Direct
0.0000 0.0000 0.0000
0.4174 0.4174 0.4174
0.5826 0.5826 0.5826
0.5000 0.5000 0.5000
```

=====

We find (i) to be the most stable, with the next structure 0.219 eV/atom higher.